No. 1
! NaTa3Sn PBE relaxed; values from VASP
! **D(E_F)**: 0.046 states/eV/atom
! **Magnetic moment**: 0.0 μB/f.u.
! **Energy above the most stable polymorph in this dataset**: 32.9 meV per atom
! **E_form**: 2014 meV/atom
&SYSTEM
  ibrav = 0, nat = 5, ntyp = 3
/
ATOMIC_SPECIES
Ta 180.95 Ta.upf
Na 22.99 Na.upf
Sn 118.71 Sn.upf
CELL_PARAMETERS angstrom
-0.2957 1.3472 -4.4802
-4.3424 -1.7496 -0.2395
-1.7410 4.1351 1.3584
ATOMIC_POSITIONS crystal
Ta 0.0000 0.5000 0.0000
Ta 0.5000 0.0000 0.0000
Ta 0.0000 0.0000 0.5000
Na 0.0000 0.0000 0.0000
Sn 0.5000 0.5000 0.5000

---

No. 2
! Na2TaSn PBE relaxed; values from VASP
! **D(E_F)**: 0.783 states/eV/atom
! **Magnetic moment**: 2.4 μB/f.u.
! **E_form**: 934 meV/atom
&SYSTEM
  ibrav = 0, nat = 8, ntyp = 3
/
ATOMIC_SPECIES
Sn 118.71 Sn.upf
Na 22.99 Na.upf
Ta 180.95 Ta.upf
CELL_PARAMETERS angstrom
8.6050 0.0000 0.0000
0.0000 8.6050 0.0000
4.3025 4.3025 2.8236
ATOMIC_POSITIONS crystal
Sn 0.5000 0.5000 0.0000
Na 0.1373 0.6250 0.2500
Ta 0.0000 0.0000 0.0000
Na 0.8750 0.8627 0.7500
Na 0.3750 0.3873 0.7500
Ta 0.7500 0.2500 0.5000
Na 0.6127 0.1250 0.2500
Sn 0.2500 0.7500 0.5000

---

No. 3
! NaTa2Sn PBE relaxed; values from VASP
! **D(E_F)**: 1.225 states/eV/atom
! **Magnetic moment**: 0.0 μB/f.u.
! **E_form**: 1075 meV/atom
&SYSTEM
  ibrav = 0, nat = 8, ntyp = 3
/
ATOMIC_SPECIES
Na 22.99 Na.upf
Ta 180.95 Ta.upf
Sn 118.71 Sn.upf
CELL_PARAMETERS angstrom
-6.2167 3.9644 -2.8704
-4.3587 -6.5951 0.3312
-6.0704 -0.6680 1.3196
ATOMIC_POSITIONS crystal
Na 0.5000 0.5000 0.0000
Ta 0.3750 0.3592 0.7500
Sn 0.7500 0.2500 0.5000
Ta 0.1092 0.6250 0.2500
Na 0.2500 0.7500 0.5000
Sn 0.0000 0.0000 0.0000
Ta 0.8750 0.8908 0.7500
Ta 0.6408 0.1250 0.2500

---

No. 4
! NaTaSn2 PBE relaxed; values from VASP
! **D(E_F)**: 0.833 states/eV/atom
! **Magnetic moment**: 0.0 μB/f.u.
! **E_form**: 722 meV/atom
&SYSTEM
  ibrav = 0, nat = 8, ntyp = 3
/
ATOMIC_SPECIES
Sn 118.71 Sn.upf
Ta 180.95 Ta.upf
Na 22.99 Na.upf
CELL_PARAMETERS angstrom
4.7445 0.0000 0.0000
0.0000 4.7445 0.0000
2.3723 2.3723 9.5772
ATOMIC_POSITIONS crystal
Sn 0.3750 0.3261 0.7500
Ta 0.7500 0.2500 0.5000
Sn 0.8750 0.9239 0.7500
Ta 0.0000 0.0000 0.0000
Na 0.5000 0.5000 0.0000
Na 0.2500 0.7500 0.5000
Sn 0.0761 0.6250 0.2500
Sn 0.6739 0.1250 0.2500

---

No. 5
! Na3TaSn PBE relaxed; values from VASP
! **D(E_F)**: 1.029 states/eV/atom
! **Magnetic moment**: 3.1 μB/f.u.
! **Energy above the most stable polymorph in this dataset**: 0.0 meV per atom
! **E_form**: 1365 meV/atom
&SYSTEM
  ibrav = 0, nat = 5, ntyp = 3
/
ATOMIC_SPECIES
Na 22.99 Na.upf
Ta 180.95 Ta.upf
Sn 118.71 Sn.upf
CELL_PARAMETERS angstrom
5.6748 0.0000 0.0000
0.0000 5.6748 0.0000
0.0000 0.0000 5.6748
ATOMIC_POSITIONS crystal
Na 0.5000 0.0000 0.0000
Ta 0.5000 0.5000 0.5000
Sn 0.0000 0.0000 0.0000
Na 0.0000 0.0000 0.5000
Na 0.0000 0.5000 0.0000

---

No. 6
! NaTa3Sn PBE relaxed; values from VASP
! **D(E_F)**: 0.150 states/eV/atom
! **Magnetic moment**: 0.0 μB/f.u.
! **Energy above the most stable polymorph in this dataset**: 0.0 meV per atom
! **E_form**: 1981 meV/atom
&SYSTEM
  ibrav = 0, nat = 5, ntyp = 3
/
ATOMIC_SPECIES
Na 22.99 Na.upf
Sn 118.71 Sn.upf
Ta 180.95 Ta.upf
CELL_PARAMETERS angstrom
5.1242 0.0000 0.0000
0.0000 5.1242 0.0000
0.0000 0.0000 5.1242
ATOMIC_POSITIONS crystal
Na 0.5000 0.5000 0.5000
Sn 0.0000 0.0000 0.0000
Ta 0.0000 0.0000 0.5000
Ta 0.0000 0.5000 0.0000
Ta 0.5000 0.0000 0.0000

---

No. 7
! Na3TaSn PBE relaxed; values from VASP
! **D(E_F)**: 1.180 states/eV/atom
! **Magnetic moment**: 3.9 μB/f.u.
! **Energy above the most stable polymorph in this dataset**: 148.2 meV per atom
! **E_form**: 1513 meV/atom
&SYSTEM
  ibrav = 0, nat = 5, ntyp = 3
/
ATOMIC_SPECIES
Sn 118.71 Sn.upf
Ta 180.95 Ta.upf
Na 22.99 Na.upf
CELL_PARAMETERS angstrom
-5.5721 1.4411 0.2042
-0.4514 -2.4790 5.1785
1.3837 4.9944 2.5115
ATOMIC_POSITIONS crystal
Sn 0.5000 0.5000 0.5000
Ta 0.0000 0.0000 0.0000
Na 0.0000 0.5000 0.0000
Na 0.0000 0.0000 0.5000
Na 0.5000 0.0000 0.0000

---

No. 8
! NaTbSn4 PBE relaxed; values from VASP
! **D(E_F)**: 0.573 states/eV/atom
! **Magnetic moment**: 0.0 μB/f.u.
! **E_form**: -226 meV/atom
&SYSTEM
  ibrav = 0, nat = 6, ntyp = 3
/
ATOMIC_SPECIES
Tb 158.93 Tb.upf
Sn 118.71 Sn.upf
Na 22.99 Na.upf
CELL_PARAMETERS angstrom
6.2012 0.0000 0.0000
3.1006 5.3704 0.0000
3.1006 1.7901 5.0633
ATOMIC_POSITIONS crystal
Tb 0.0000 0.0000 0.0000
Sn 0.6253 0.6253 0.6253
Sn 0.6253 0.6253 0.1241
Sn 0.6253 0.1241 0.6253
Sn 0.1241 0.6253 0.6253
Na 0.2500 0.2500 0.2500

---

No. 9
! NaTbSn3 PBE relaxed; values from VASP
! **D(E_F)**: 0.477 states/eV/atom
! **Magnetic moment**: 0.0 μB/f.u.
! **E_form**: -352 meV/atom
&SYSTEM
  ibrav = 0, nat = 20, ntyp = 3
/
ATOMIC_SPECIES
Sn 118.71 Sn.upf
Tb 158.93 Tb.upf
Na 22.99 Na.upf
CELL_PARAMETERS angstrom
-0.4873 1.5750 -6.0198
1.5850 -5.8659 -1.6618
-13.3652 -3.6474 0.1277
ATOMIC_POSITIONS crystal
Sn 0.7500 0.0000 0.4954
Sn 0.2202 0.7500 0.8864
Sn 0.0061 0.7499 0.2879
Sn 0.2500 0.5000 0.5046
Sn 0.4939 0.2501 0.2879
Tb 0.5034 0.2499 0.6782
Sn 0.7500 0.5000 0.4954
Sn 0.9939 0.2501 0.7121
Sn 0.2798 0.2500 0.8864
Na 0.2500 0.0000 0.0984
Sn 0.7202 0.7500 0.1136
Na 0.7500 0.5000 0.9016
Sn 0.7798 0.2500 0.1136
Tb 0.4966 0.7501 0.3218
Tb 0.0034 0.2499 0.3218
Tb 0.9966 0.7501 0.6782
Sn 0.2500 0.0000 0.5046
Na 0.2500 0.5000 0.0984
Sn 0.5061 0.7499 0.7121
Na 0.7500 0.0000 0.9016

---

No. 10
! NaTb2Sn9 PBE relaxed; values from VASP
! **D(E_F)**: 0.425 states/eV/atom
! **Magnetic moment**: 0.0 μB/f.u.
! **E_form**: -337 meV/atom
&SYSTEM
  ibrav = 0, nat = 12, ntyp = 3
/
ATOMIC_SPECIES
Sn 118.71 Sn.upf
Tb 158.93 Tb.upf
Na 22.99 Na.upf
CELL_PARAMETERS angstrom
-3.5390 1.7747 -2.5183
-1.4481 -4.3436 -1.0260
-8.3256 0.0103 11.7072
ATOMIC_POSITIONS crystal
Sn 0.0000 0.5000 0.1664
Sn 0.5000 0.0000 0.8336
Sn 0.5000 0.5000 0.3315
Sn 0.5000 0.0000 0.5000
Sn 0.5000 0.5000 0.0000
Sn 0.5000 0.5000 0.6685
Sn 0.0000 0.5000 0.5000
Tb 0.0000 0.0000 0.6618
Sn 0.5000 0.0000 0.1664
Na 0.0000 0.0000 0.0000
Tb 0.0000 0.0000 0.3382
Sn 0.0000 0.5000 0.8336

---

No. 11
! Na4Tb3SnTe8 PBE relaxed; values from VASP
! **Formation energy (no corrections)**: -1.104 eV/atom
! **D(E_F)**: 0.146 states/eV/atom
! **Magnetic moment**: 0.0 μB/f.u.
&SYSTEM
  ibrav = 0, nat = 16, ntyp = 4
/
ATOMIC_SPECIES
Na 22.99 Na.upf
Te 127.60 Te.upf
Tb 158.93 Tb.upf
Sn 118.71 Sn.upf
CELL_PARAMETERS angstrom
-6.3368 6.2330 0.3329
-4.4825 -4.8927 6.2816
8.4901 2.2062 1.4750
ATOMIC_POSITIONS crystal
Na 0.0000 0.0000 0.0000
Na 0.0000 0.0000 0.5000
Te 0.2429 0.7307 0.4857
Te 0.2428 0.7306 0.9879
Tb 0.5000 0.5000 0.0000
Te 0.7571 0.2693 0.5143
Tb 0.0000 0.5000 0.5000
Te 0.7445 0.7333 0.4890
Te 0.2549 0.2694 0.0121
Tb 0.5000 0.5000 0.5000
Te 0.7572 0.2694 0.0121
Te 0.7451 0.7306 0.9879
Sn 0.0000 0.5000 0.0000
Te 0.2555 0.2667 0.5110
Na 0.5000 0.0000 0.0000
Na 0.5000 0.0000 0.5000

---

No. 12
! Na2TbSnTe4 PBE relaxed; values from VASP
! **Formation energy (no corrections)**: -0.891 eV/atom
! **D(E_F)**: 0.312 states/eV/atom
! **Magnetic moment**: 0.0 μB/f.u.
&SYSTEM
  ibrav = 0, nat = 8, ntyp = 4
/
ATOMIC_SPECIES
Te 127.60 Te.upf
Na 22.99 Na.upf
Sn 118.71 Sn.upf
Tb 158.93 Tb.upf
CELL_PARAMETERS angstrom
-0.4787 -3.9041 1.9458
7.4887 0.0844 2.0116
-4.2367 3.4316 5.8430
ATOMIC_POSITIONS crystal
Te 0.5000 0.7560 0.7690
Na 0.0000 0.5000 0.5000
Te 0.0000 0.7455 0.2310
Sn 0.0000 0.0000 0.0000
Te 0.5000 0.2440 0.2310
Na 0.5000 0.0000 0.5000
Tb 0.5000 0.5000 0.0000
Te 0.0000 0.2545 0.7690

---

No. 13
! NaTbTlSn PBE relaxed; values from VASP
! **D(E_F)**: 0.583 states/eV/atom
! **Magnetic moment**: 0.0 μB/f.u.
! **E_form**: -302 meV/atom
&SYSTEM
  ibrav = 0, nat = 4, ntyp = 4
/
ATOMIC_SPECIES
Tb 158.93 Tb.upf
Sn 118.71 Sn.upf
Tl 204.38 Tl.upf
Na 22.99 Na.upf
CELL_PARAMETERS angstrom
5.3453 0.0000 0.0000
2.6726 4.6292 0.0000
2.6726 1.5431 4.3644
ATOMIC_POSITIONS crystal
Tb 0.5000 0.5000 0.5000
Sn 0.2500 0.2500 0.2500
Tl 0.7500 0.7500 0.7500
Na 0.0000 0.0000 0.0000

---

No. 14
! Na2TbZnSn2 PBE relaxed; values from VASP
! **D(E_F)**: 0.369 states/eV/atom
! **Magnetic moment**: 0.0 μB/f.u.
! **E_form**: -350 meV/atom
&SYSTEM
  ibrav = 0, nat = 12, ntyp = 4
/
ATOMIC_SPECIES
Tb 158.93 Tb.upf
Sn 118.71 Sn.upf
Na 22.99 Na.upf
Zn 65.41 Zn.upf
CELL_PARAMETERS angstrom
-2.3300 -3.7864 1.6332
5.9198 -4.3698 -1.6855
3.3483 1.4220 8.0732
ATOMIC_POSITIONS crystal
Tb 0.0000 0.5172 0.5217
Tb 0.0000 0.0172 0.4783
Sn 0.5000 0.7796 0.6143
Na 0.0000 0.3310 0.1528
Sn 0.5000 0.2796 0.3857
Zn 0.5000 0.1446 0.6870
Sn 0.0000 0.7534 0.1937
Na 0.5000 0.0199 0.0793
Zn 0.5000 0.6446 0.3130
Na 0.0000 0.8310 0.8472
Sn 0.0000 0.2534 0.8063
Na 0.5000 0.5199 0.9207

---

No. 15
! Na2TcSn PBE relaxed; values from VASP
! **D(E_F)**: 0.833 states/eV/atom
! **Magnetic moment**: 1.8 μB/f.u.
! **E_form**: 771 meV/atom
&SYSTEM
  ibrav = 0, nat = 8, ntyp = 3
/
ATOMIC_SPECIES
Tc 98.00 Tc.upf
Na 22.99 Na.upf
Sn 118.71 Sn.upf
CELL_PARAMETERS angstrom
-6.4831 3.5898 4.0235
-4.9812 -6.3965 -2.3192
-5.0675 -2.7425 3.1179
ATOMIC_POSITIONS crystal
Tc 0.2500 0.7500 0.5000
Na 0.8750 0.8623 0.7500
Na 0.6123 0.1250 0.2500
Tc 0.5000 0.5000 0.0000
Na 0.3750 0.3877 0.7500
Na 0.1377 0.6250 0.2500
Sn 0.7500 0.2500 0.5000
Sn 0.0000 0.0000 0.0000

---

No. 16
! NaTcSn2 PBE relaxed; values from VASP
! **D(E_F)**: 0.192 states/eV/atom
! **Magnetic moment**: 0.0 μB/f.u.
! **Energy above the most stable polymorph in this dataset**: 525.1 meV per atom
! **E_form**: 513 meV/atom
&SYSTEM
  ibrav = 0, nat = 8, ntyp = 3
/
ATOMIC_SPECIES
Na 22.99 Na.upf
Sn 118.71 Sn.upf
Tc 98.00 Tc.upf
CELL_PARAMETERS angstrom
-2.1591 5.3764 1.4202
-5.2461 -2.4746 1.3926
-1.2210 0.4486 8.9736
ATOMIC_POSITIONS crystal
Na 0.5000 0.5000 0.0000
Sn 0.7885 0.1250 0.2500
Sn 0.8750 0.0385 0.7500
Sn 0.3750 0.2115 0.7500
Na 0.2500 0.7500 0.5000
Sn 0.9615 0.6250 0.2500
Tc 0.7500 0.2500 0.5000
Tc 0.0000 0.0000 0.0000

---

No. 17
! Na3TcSn PBE relaxed; values from VASP
! **D(E_F)**: 4.107 states/eV/atom
! **Magnetic moment**: 3.2 μB/f.u.
! **Energy above the most stable polymorph in this dataset**: 44.8 meV per atom
! **E_form**: 1229 meV/atom
&SYSTEM
  ibrav = 0, nat = 5, ntyp = 3
/
ATOMIC_SPECIES
Na 22.99 Na.upf
Sn 118.71 Sn.upf
Tc 98.00 Tc.upf
CELL_PARAMETERS angstrom
5.5407 0.0000 0.0000
0.0000 5.5407 0.0000
0.0000 0.0000 5.5407
ATOMIC_POSITIONS crystal
Na 0.0000 0.5000 0.0000
Sn 0.5000 0.5000 0.5000
Tc 0.0000 0.0000 0.0000
Na 0.0000 0.0000 0.5000
Na 0.5000 0.0000 0.0000

---

No. 18
! Na3TcSn PBE relaxed; values from VASP
! **D(E_F)**: 1.378 states/eV/atom
! **Magnetic moment**: 5.2 μB/f.u.
! **Energy above the most stable polymorph in this dataset**: 0.0 meV per atom
! **E_form**: 1184 meV/atom
&SYSTEM
  ibrav = 0, nat = 5, ntyp = 3
/
ATOMIC_SPECIES
Na 22.99 Na.upf
Tc 98.00 Tc.upf
Sn 118.71 Sn.upf
CELL_PARAMETERS angstrom
5.7948 0.0000 0.0000
0.0000 5.7948 0.0000
0.0000 0.0000 5.7948
ATOMIC_POSITIONS crystal
Na 0.5000 0.0000 0.0000
Tc 0.5000 0.5000 0.5000
Sn 0.0000 0.0000 0.0000
Na 0.0000 0.0000 0.5000
Na 0.0000 0.5000 0.0000

---

No. 19
! NaTcSn2 PBE relaxed; values from VASP
! **D(E_F)**: 0.543 states/eV/atom
! **Magnetic moment**: 0.0 μB/f.u.
! **Energy above the most stable polymorph in this dataset**: 0.0 meV per atom
! **E_form**: -12 meV/atom
&SYSTEM
  ibrav = 0, nat = 4, ntyp = 3
/
ATOMIC_SPECIES
Na 22.99 Na.upf
Tc 98.00 Tc.upf
Sn 118.71 Sn.upf
CELL_PARAMETERS angstrom
3.3034 0.0000 0.0000
0.0000 3.3034 0.0000
0.0000 0.0000 8.1500
ATOMIC_POSITIONS crystal
Na 0.5000 0.5000 0.5000
Tc 0.5000 0.5000 0.0000
Sn 0.0000 0.0000 0.1967
Sn 0.0000 0.0000 0.8033

---

No. 20
! NaTcSn2 PBE relaxed; values from VASP
! **D(E_F)**: 1.285 states/eV/atom
! **Magnetic moment**: 0.0 μB/f.u.
! **Energy above the most stable polymorph in this dataset**: 243.8 meV per atom
! **E_form**: 232 meV/atom
&SYSTEM
  ibrav = 0, nat = 4, ntyp = 3
/
ATOMIC_SPECIES
Sn 118.71 Sn.upf
Na 22.99 Na.upf
Tc 98.00 Tc.upf
CELL_PARAMETERS angstrom
0.0000 3.3955 3.3955
3.3955 0.0000 3.3955
3.3955 3.3955 0.0000
ATOMIC_POSITIONS crystal
Sn 0.7500 0.7500 0.7500
Na 0.0000 0.0000 0.0000
Tc 0.5000 0.5000 0.5000
Sn 0.2500 0.2500 0.2500